Record 1
YNiAgAu: relaxed, PBE.

Output
N(E_F): 7.3 states/eV/cell
DFT total energy: -4.918 eV/atom
Energy of formation from the pure elements: -0.324 eV/atom

Cell lengths 6.712, 6.712, 6.712 Å; angles 90.00, 90.00, 90.00 degrees
Space group F-43m (No. 216)
Inequivalent atoms, fractional coordinates:
Y1 0.000 0.000 0.000 [4 per cell]
Ni1 0.250 0.250 0.750 [4 per cell]
Ag1 0.000 0.000 0.500 [4 per cell]
Au1 0.250 0.250 0.250 [4 per cell]

Record 2
CaZrTc: relaxed, PBE.

Output
Polymorph energy (0 for the lowest one): 0.0 meV per atom
N(E_F): 6.7 states/eV/cell
DFT total energy: -6.876 eV/atom
Energy of formation from the pure elements: 0.095 eV/atom

Cell lengths 3.435, 3.435, 11.863 Å; angles 90.00, 90.00, 90.00 degrees
Space group I4mm (No. 107)
Inequivalent atoms, fractional coordinates:
Ca1 0.000 0.000 0.000 [2 per cell]
Zr1 0.000 0.000 0.728 [2 per cell]
Tc1 0.000 0.000 0.330 [2 per cell]

Record 3
Ti2VNi2: relaxed, PBE.

Output
Polymorph energy (0 for the lowest one): 44.0 meV per atom
N(E_F): 15.2 states/eV/cell
DFT total energy: -7.433 eV/atom
Energy of formation from the pure elements: -0.139 eV/atom

Cell lengths 4.086, 12.094, 2.819 Å; angles 90.00, 90.00, 90.00 degrees
Space group Cmmm (No. 65)
Inequivalent atoms, fractional coordinates:
Ti1 0.000 0.122 0.000 [4 per cell]
V1 0.000 0.500 0.500 [2 per cell]
Ni1 0.000 0.308 0.500 [4 per cell]

Question: Which value of DFT total energy does entry 1 give?
Answer: -4.918 eV/atom